A plane-wave DFT calculation with SCAN was carried out for a PBEsol-optimized structure of Na2CuO2.

The calculation puts the uncorrected formation energy at -1267 meV/atom. As for the crystal system: orthorhombic.

The space group is Cmc2_1 (No. 36) and the conventional cell measures 2.912, 10.223 and 8.180 Å, with angles of 90.00, 90.00 and 90.00 degrees. The inequivalent atoms are Na at (0.000, 0.105, 0.000), Na at (0.000, 0.352, 0.180), Cu at (0.000, 0.377, 0.845), O at (0.000, 0.018, 0.257) and O at (0.000, 0.225, 0.444).